{
  "formula": "LiPRu3",
  "functional": "PBE",
  "state": "relaxed",
  "lattice_angstrom": [[4.361, 0.000, 0.000], [0.000, 4.361, 0.000], [0.000, 0.000, 4.361]],
  "species": ["Li", "P", "Ru", "Ru", "Ru"],
  "frac_coords": [[0.000, 0.000, 0.000], [0.500, 0.500, 0.500], [0.000, 0.500, 0.500], [0.500, 0.000, 0.500], [0.500, 0.500, 0.000]],
  "volume_a3_per_cell": 83.0,
  "total_magnetization_mub_per_atom": 0.311,
  "e_above_lowest_polymorph_mev_per_atom": 0.0,
  "ef_ev_per_atom": 0.343,
  "mass_density_g_cm3": 6.83
}